(1)
Computed, not measured: a crystal of Li2CaTl2 relaxed with PBEsol at the meta-GGA SCAN level of DFT.

Properties
As for the density of states at the Fermi level: 2.17 states/eV/f.u. The raw total energy comes out at -32.1692 eV/atom. The calculation puts the relative energy among the computed polymorphs at 0.34 eV per formula unit.

The structure in extended XYZ format:
```
10
Lattice="3.469 0.000 0.000 0.000 8.264 0.000 0.000 0.000 8.264" Properties=species:S:1:pos:R:3 pbc="T T T"
Tl 0.000 3.031 7.163
Tl 0.000 7.163 5.233
Tl 0.000 5.233 1.101
Tl 0.000 1.101 3.031
Ca 0.000 0.000 0.000
Ca 0.000 4.132 4.132
Li 1.735 1.341 5.474
Li 1.735 5.474 6.923
Li 1.735 6.923 2.791
Li 1.735 2.791 1.341
```

---

(2)
Computed, not measured: a crystal of CaBe4Br relaxed with PBEsol at the meta-GGA SCAN level of DFT.

Properties
As for the density of states at the Fermi level: 3.48 states/eV/f.u. The raw total energy comes out at -7.1451 eV/atom. Its uncorrected formation energy is 611 meV/atom.

The structure in extended XYZ format:
```
6
Lattice="-1.577 -3.963 -2.739 -3.126 -3.420 2.057 -4.826 -0.265 -1.528" Properties=species:S:1:pos:R:3 pbc="T T T"
Be -3.411 -4.736 -0.565
Be -5.210 -2.688 0.106
Be -4.352 -2.989 -2.550
Be -6.084 -4.883 -1.411
Ca 0.000 0.000 0.000
Br -2.382 -1.912 -0.553
```

---

(3)
Computed, not measured: a crystal of SiSb2Mo relaxed with PBEsol at the meta-GGA SCAN level of DFT.

Properties
As for the density of states at the Fermi level: 2.55 states/eV/f.u. The raw total energy comes out at -29.8060 eV/atom. Its uncorrected formation energy is 50 meV/atom.

The structure in extended XYZ format:
```
4
Lattice="-2.814 0.399 -1.561 -1.602 -1.032 2.624 -0.417 7.303 2.618" Properties=species:S:1:pos:R:3 pbc="T T T"
Mo -2.497 4.738 2.343
Sb -0.387 6.789 2.434
Sb -2.342 2.028 1.371
Si -0.232 4.069 1.458
```

---

(4)
Computed, not measured: a crystal of SmLu3 relaxed with PBEsol at the meta-GGA SCAN level of DFT.

Properties
As for the density of states at the Fermi level: 6.09 states/eV/f.u. The raw total energy comes out at -52.6115 eV/atom.

The structure in extended XYZ format:
```
8
Lattice="5.469 0.000 0.000 0.000 6.983 0.000 0.000 -3.491 6.047" Properties=species:S:1:pos:R:3 pbc="T T T"
Sm 4.101 0.000 4.032
Sm 1.367 3.491 2.016
Lu 1.367 1.761 5.048
Lu 1.367 0.000 1.998
Lu 1.367 -1.761 5.048
Lu 4.101 1.731 0.999
Lu 4.101 3.491 4.049
Lu 4.101 5.252 0.999
```

---

(5)
Computed, not measured: a crystal of Ta2NbInSe relaxed with PBEsol at the meta-GGA SCAN level of DFT.

Properties
As for the density of states at the Fermi level: 5.22 states/eV/f.u. The raw total energy comes out at -43.1821 eV/atom. Its uncorrected formation energy is 770 meV/atom.

The structure in extended XYZ format:
```
5
Lattice="-2.488 2.962 -2.665 -3.704 -0.560 2.835 1.477 3.619 2.644" Properties=species:S:1:pos:R:3 pbc="T T T"
Nb 0.738 1.809 1.322
In -2.358 3.010 1.407
Se 0.000 0.000 0.000
Ta -1.852 -0.280 1.418
Ta -1.244 1.481 -1.332
```

---

(6)
Computed, not measured: a crystal of MnAl2Zn relaxed with PBEsol at the meta-GGA SCAN level of DFT.

Properties
As for the density of states at the Fermi level: 1.63 states/eV/f.u. The raw total energy comes out at -11.9714 eV/atom.

The structure in extended XYZ format:
```
4
Lattice="-2.529 1.842 0.904 -1.406 -2.601 1.365 2.419 1.085 4.557" Properties=species:S:1:pos:R:3 pbc="T T T"
Zn -0.163 0.429 4.535
Mn 1.188 0.533 2.239
Al 2.394 1.073 4.509
Al -1.307 -0.083 2.380
```

---

(7)
Computed, not measured: a crystal of HgTeH7O7 relaxed with PBEsol at the meta-GGA SCAN level of DFT.

Properties
As for the density of states at the Fermi level: 0.00 states/eV/f.u. The raw total energy comes out at -11.7939 eV/atom.

The structure in extended XYZ format:
```
32
Lattice="-2.512 0.002 -5.094 5.010 -4.153 -2.821 -5.128 -6.774 0.374" Properties=species:S:1:pos:R:3 pbc="T T T"
H -2.286 -7.948 -6.475
H -0.344 -2.978 -1.065
H -4.590 -6.239 -5.028
H 1.960 -4.686 -2.512
H -1.068 -1.002 -3.232
H -1.562 -9.923 -4.308
H 1.493 -3.140 -5.794
H -4.123 -7.785 -1.746
H -0.661 -4.552 -5.039
H -1.969 -6.374 -2.501
H -0.350 -2.515 -4.582
H -2.280 -8.410 -2.958
H 0.533 -3.689 -3.868
H -3.163 -7.236 -3.672
Hg 1.094 -6.725 -6.133
Hg -3.724 -4.200 -1.407
O 0.908 -5.084 -7.502
O -3.538 -5.841 -0.038
O 0.567 -7.187 -1.926
O -3.197 -3.738 -5.614
O -2.749 -9.795 -5.926
O 0.119 -1.131 -1.614
O -3.577 -6.411 -4.941
O 0.947 -4.514 -2.599
O -1.046 -5.493 -5.173
O -1.584 -5.432 -2.367
O -1.434 -1.342 -4.093
O -1.196 -9.583 -3.447
O 0.252 -3.298 -4.768
O -2.882 -7.627 -2.772
Te -0.059 -5.463 -1.223
Te 0.000 0.000 0.000
```

---

(8)
Computed, not measured: a crystal of MnHg2Os relaxed with PBEsol at the meta-GGA SCAN level of DFT.

Properties
As for the density of states at the Fermi level: 1.12 states/eV/f.u. The raw total energy comes out at -56.1840 eV/atom.

The structure in extended XYZ format:
```
4
Lattice="-3.967 0.727 0.228 -0.454 -1.290 -3.800 -0.615 -3.782 1.358" Properties=species:S:1:pos:R:3 pbc="T T T"
Hg 0.000 0.000 0.000
Hg -2.211 -0.282 -1.786
Mn -2.291 -1.527 0.793
Os -0.535 -2.536 -1.221
```

---

(9)
Computed, not measured: a crystal of CuSiHg relaxed with PBEsol at the meta-GGA SCAN level of DFT.

Properties
As for the density of states at the Fermi level: 1.29 states/eV/f.u. The raw total energy comes out at -30.7225 eV/atom. Its uncorrected formation energy is 405 meV/atom.

The structure in extended XYZ format:
```
3
Lattice="3.713 0.000 0.000 0.000 3.986 0.000 0.000 -1.993 3.452" Properties=species:S:1:pos:R:3 pbc="T T T"
Cu 0.435 0.000 0.000
Hg 2.511 1.993 1.151
Si 0.767 0.000 2.301
```

---

(10)
Computed, not measured: a crystal of SnSb2TeBr relaxed with PBEsol at the meta-GGA SCAN level of DFT.

Properties
As for the density of states at the Fermi level: 4.60 states/eV/f.u. The raw total energy comes out at -32.7630 eV/atom. Its uncorrected formation energy is 668 meV/atom.

The structure in extended XYZ format:
```
5
Lattice="5.547 0.000 0.000 0.000 5.630 0.000 0.000 0.000 5.630" Properties=species:S:1:pos:R:3 pbc="T T T"
Sb 0.000 0.000 2.815
Sb 0.000 2.815 0.000
Te 2.774 0.000 0.000
Sn 0.000 0.000 0.000
Br 2.774 2.815 2.815
```

---

(11)
Computed, not measured: a crystal of Sr2SbS relaxed with PBEsol at the meta-GGA SCAN level of DFT.

Properties
As for the density of states at the Fermi level: 3.35 states/eV/f.u. The raw total energy comes out at -24.1624 eV/atom. Its uncorrected formation energy is -1303 meV/atom.

The structure in extended XYZ format:
```
8
Lattice="-0.283 -3.624 -5.908 6.096 3.306 0.151 -0.813 -4.463 5.248" Properties=species:S:1:pos:R:3 pbc="T T T"
Sb 0.000 0.000 0.000
Sb 4.228 -0.448 -1.529
S 2.642 -0.578 2.700
S 0.773 -4.333 1.020
Sr 4.986 0.899 2.074
Sr 1.335 -5.969 -1.233
Sr 2.931 -2.522 0.648
Sr 0.749 -1.969 -2.507
```

---

(12)
Computed, not measured: a crystal of Ca2ZnTe relaxed with PBEsol at the meta-GGA SCAN level of DFT.

Properties
As for the density of states at the Fermi level: 3.28 states/eV/f.u. The raw total energy comes out at -18.2763 eV/atom. The calculation puts the relative energy among the computed polymorphs at 0.20 eV per formula unit. Its uncorrected formation energy is -753 meV/atom.

The structure in extended XYZ format:
```
4
Lattice="4.378 0.000 0.000 0.000 4.378 0.000 0.000 0.000 6.231" Properties=species:S:1:pos:R:3 pbc="T T T"
Zn 2.189 2.189 5.455
Te 0.000 0.000 2.334
Ca 0.000 0.000 5.450
Ca 2.189 2.189 2.338
```